(1)
Computed, not measured: a geometry-optimized Cu3ReMo structure at the PBE level of DFT.

Output
For the density of states at the Fermi level, the calculation gives 4.816 states/eV per cell.

Geometry as POSCAR:
```
Cu3ReMo
1.0
4.5846 0.0000 0.0000
0.0000 4.5846 0.0000
0.0000 0.0000 4.5846
Cu Re Mo
3 1 1
Cartesian
0.0000 0.0000 2.2923 Cu
0.0000 2.2923 0.0000 Cu
2.2923 0.0000 0.0000 Cu
0.0000 0.0000 0.0000 Re
2.2923 2.2923 2.2923 Mo
```



(2)
Computed, not measured: a geometry-optimized MgReIr structure at the PBE level of DFT.

Output
For the density of states at the Fermi level, the calculation gives 1.310 states/eV per cell.

Geometry as POSCAR:
```
MgReIr
1.0
0.0000 2.9892 2.9892
2.9892 0.0000 2.9892
2.9892 2.9892 0.0000
Mg Re Ir
1 1 1
Cartesian
0.0000 0.0000 0.0000 Mg
2.9892 2.9892 2.9892 Re
1.4946 1.4946 1.4946 Ir
```



(3)
Computed, not measured: a geometry-optimized ErHgIr structure at the PBE level of DFT.

Output
For the density of states at the Fermi level, the calculation gives 1.574 states/eV per cell.

Geometry as POSCAR:
```
ErHgIr
1.0
4.1489 0.0000 0.0000
0.0006 5.3457 0.0000
0.0158 2.1654 6.5255
Er Hg Ir
2 2 2
Cartesian
1.0379 1.3309 0.5278 Er
3.1274 6.1802 5.9977 Er
1.0531 2.3435 3.6712 Hg
3.1121 5.1676 2.8543 Hg
1.0373 3.9870 1.3390 Ir
3.1280 3.5241 5.1866 Ir
```



Number 1: E_form 1.866 eV/atom. Number 2: E_form 0.204 eV/atom. Number 3: E_form -0.322 eV/atom.